The following is a DFT calculation (GGA+U) of a geometry-optimized NaFeN2O structure.

Cell lengths 4.1591, 4.1591, 4.0193 Å; angles 90.00, 90.00, 90.00 degrees
Space group P4/mmm (No. 123)
One atom of each set of equivalent atoms:
Na (0.0000, 0.0000, 0.0000) x1
Fe (0.5000, 0.5000, 0.5000) x1
N (0.0000, 0.5000, 0.0000) x2
O (0.0000, 0.0000, 0.5000) x1

Results
Uncorrected energy ... -3.68 eV/atom
Total moment ... 1.796 μB per atom